Dy6Sb2Te3Se PBE-GGA relaxed; total magnetization = 0.0 μB per formula unit; symmetry = No. 12; mass density = 8.12 g cm⁻³
1.0
-1.083 -4.034 -1.079
2.198 -2.710 7.930
-8.625 4.258 1.357
Dy Sb Te Se
6 2 3 1
direct
0.345 0.918 0.691 Dy
0.668 0.576 0.336 Dy
0.655 0.082 0.309 Dy
0.001 0.224 0.001 Dy
0.999 0.776 0.999 Dy
0.332 0.424 0.664 Dy
0.834 0.669 0.668 Sb
0.166 0.331 0.332 Sb
0.500 0.500 0.000 Te
0.830 0.165 0.660 Te
0.170 0.835 0.340 Te
0.500 0.000 0.000 Se



DyThSbSe PBE-GGA relaxed; total magnetization = 0.0 μB per formula unit; symmetry = No. 99; mass density = 8.74 g cm⁻³
1.0
4.274 0.000 0.000
0.000 4.267 0.247
0.000 -0.359 6.179
Dy Th Sb Se
1 1 1 1
direct
0.500 0.391 0.093 Dy
0.000 0.892 0.592 Th
0.000 0.891 0.092 Sb
0.500 0.392 0.593 Se



Dy4TlSbSe2 PBE-GGA relaxed; total magnetization = 0.0 μB per formula unit; symmetry = No. 10; mass density = 8.73 g cm⁻³
1.0
-3.504 -1.485 -1.679
3.814 -5.694 -2.921
0.023 -5.522 4.836
Dy Tl Sb Se
4 1 1 2
direct
0.000 0.760 0.745 Dy
0.000 0.240 0.255 Dy
0.500 0.764 0.244 Dy
0.500 0.236 0.756 Dy
0.000 0.500 0.500 Tl
0.500 0.500 0.000 Sb
0.000 0.000 0.000 Se
0.500 0.000 0.500 Se



Dy2Tl3SbSe6 PBE-GGA relaxed; total magnetization = 0.0 μB per formula unit; symmetry = No. 12; mass density = 7.19 g cm⁻³
1.0
7.281 -0.002 0.001
-3.641 6.306 0.001
-1.213 -2.101 7.720
Dy Tl Sb Se
2 3 1 6
direct
0.333 0.667 0.000 Dy
0.667 0.333 0.000 Dy
0.168 0.832 0.500 Tl
0.832 0.168 0.500 Tl
0.500 0.500 0.500 Tl
0.000 0.000 0.000 Sb
0.932 0.597 0.796 Se
0.734 0.734 0.206 Se
0.068 0.403 0.204 Se
0.597 0.932 0.796 Se
0.266 0.266 0.794 Se
0.403 0.068 0.204 Se



Dy6TlSb2Se3 PBE-GGA relaxed; total magnetization = 0.0 μB per formula unit; symmetry = No. 12; mass density = 8.51 g cm⁻³
1.0
4.197 0.000 0.000
0.000 8.559 0.320
-2.098 -2.455 8.927
Dy Tl Sb Se
6 1 2 3
direct
0.332 0.923 0.665 Dy
0.666 0.588 0.331 Dy
0.668 0.077 0.335 Dy
0.997 0.257 0.993 Dy
0.003 0.743 0.007 Dy
0.334 0.412 0.669 Dy
0.500 0.000 0.000 Tl
0.834 0.667 0.668 Sb
0.166 0.333 0.332 Sb
0.500 0.500 0.000 Se
0.831 0.167 0.662 Se
0.169 0.833 0.338 Se



Dy3Tl4SbSe8 PBE-GGA relaxed; total magnetization = 0.0 μB per formula unit; symmetry = No. 166; mass density = 7.23 g cm⁻³
1.0
-1.626 -1.694 8.065
8.702 1.778 2.128
-4.314 6.009 -3.982
Dy Tl Sb Se
3 4 1 8
direct
0.500 0.500 0.000 Dy
0.500 0.500 0.500 Dy
0.000 0.500 0.500 Dy
0.500 0.000 0.000 Tl
0.500 0.000 0.500 Tl
0.000 0.000 0.000 Tl
0.000 0.000 0.500 Tl
0.000 0.500 0.000 Sb
0.236 0.705 0.969 Se
0.236 0.705 0.472 Se
0.265 0.296 0.530 Se
0.733 0.705 0.969 Se
0.267 0.295 0.031 Se
0.735 0.704 0.470 Se
0.764 0.295 0.528 Se
0.764 0.295 0.031 Se



DyTmSbSe PBE-GGA relaxed; total magnetization = 0.0 μB per formula unit; symmetry = No. 123; mass density = 8.31 g cm⁻³
1.0
-3.926 -0.537 1.473
1.561 -1.678 3.551
0.188 5.408 2.473
Dy Tm Sb Se
1 1 1 1
direct
0.000 0.892 0.093 Dy
0.500 0.392 0.592 Tm
0.500 0.392 0.092 Sb
0.000 0.891 0.592 Se



DyYSbSe PBE-GGA relaxed; total magnetization = 0.0 μB per formula unit; symmetry = No. 99; mass density = 6.93 g cm⁻³
1.0
-2.500 3.280 1.006
-1.153 -1.976 3.576
4.579 2.598 2.909
Dy Y Sb Se
1 1 1 1
direct
0.000 0.891 0.092 Dy
0.500 0.392 0.593 Y
0.000 0.892 0.592 Sb
0.500 0.391 0.093 Se



Dy4SiSb PBE-GGA relaxed; total magnetization = 0.0 μB per formula unit; symmetry = No. 15; mass density = 7.71 g cm⁻³
1.0
6.098 0.000 0.000
0.000 7.421 0.514
-3.049 -2.504 7.437
Dy Si Sb
8 2 2
direct
0.526 0.054 0.840 Dy
0.686 0.446 0.160 Dy
0.474 0.946 0.160 Dy
0.314 0.554 0.840 Dy
0.938 0.862 0.670 Dy
0.268 0.638 0.330 Dy
0.062 0.138 0.330 Dy
0.732 0.362 0.670 Dy
0.500 0.000 0.500 Si
0.000 0.500 0.500 Si
0.866 0.750 0.000 Sb
0.134 0.250 0.000 Sb



Dy3SiSb PBE-GGA relaxed; total magnetization = 0.0 μB per formula unit; symmetry = No. 2; mass density = 6.82 g cm⁻³
1.0
7.279 -0.005 0.000
3.635 6.299 0.001
3.638 2.099 6.763
Dy Si Sb
6 2 2
direct
0.804 0.410 0.757 Dy
0.028 0.804 0.757 Dy
0.411 0.028 0.757 Dy
0.196 0.590 0.243 Dy
0.972 0.196 0.243 Dy
0.589 0.972 0.243 Dy
0.832 0.833 0.502 Si
0.168 0.167 0.498 Si
0.359 0.359 0.924 Sb
0.641 0.641 0.076 Sb



Dy4SiSb2 PBE-GGA relaxed; total magnetization = 0.0 μB per formula unit; symmetry = No. 74; mass density = 7.42 g cm⁻³
1.0
-3.751 1.759 6.986
3.932 -7.069 0.735
5.311 5.891 -1.761
Dy Si Sb
8 2 4
direct
0.941 0.242 0.302 Dy
0.309 0.507 0.198 Dy
0.940 0.639 0.698 Dy
0.758 0.060 0.698 Dy
0.362 0.060 0.302 Dy
0.310 0.111 0.802 Dy
0.492 0.690 0.802 Dy
0.888 0.690 0.198 Dy
0.249 0.749 0.500 Si
0.001 0.001 0.000 Si
0.625 0.375 0.750 Sb
0.625 0.875 0.250 Sb
0.625 0.375 0.250 Sb
0.125 0.375 0.750 Sb



DySiSb PBE-GGA relaxed; total magnetization = 0.0 μB per formula unit; symmetry = No. 198; mass density = 6.52 g cm⁻³
1.0
-6.111 -0.218 -3.034
2.703 -3.510 -5.193
-1.394 -5.850 3.229
Si Sb Dy
4 4 4
direct
0.785 0.785 0.785 Si
0.715 0.215 0.285 Si
0.285 0.715 0.215 Si
0.215 0.285 0.715 Si
0.481 0.481 0.481 Sb
0.019 0.519 0.981 Sb
0.981 0.019 0.519 Sb
0.519 0.981 0.019 Sb
0.029 0.029 0.029 Dy
0.471 0.971 0.529 Dy
0.529 0.471 0.971 Dy
0.971 0.529 0.471 Dy



| no. | formation energy (no corrections) (eV per atom) |
| --- | --- |
| 1 | -1.34 |
| 2 | -1.29 |
| 3 | -1.21 |
| 4 | -1.04 |
| 5 | -1.29 |
| 6 | -1.13 |
| 7 | -1.39 |
| 8 | -1.45 |
| 9 | -0.44 |
| 10 | -0.58 |
| 11 | -0.70 |
| 12 | -0.18 |